# YTaTe2

A PBEsol-optimized structure of YTaTe2 (SCAN, Alexandria via LeMat-Bulk).

Values from the calculation:
Its electronic total energy is -42.416 eV per atom. Its spin magnetization is 0.00 μB per atom. Its formation energy (no corrections) is -184 meV/atom. Its energy above the most stable polymorph in this dataset is 332 meV/atom.

```
4
Lattice="3.571 0.000 0.000 1.785 3.092 0.000 1.785 1.031 9.820" Properties=species:S:1:pos:R:3 pbc="T T T"
Y 0.000 0.000 0.000
Te 5.356 3.092 3.047
Te 1.785 1.031 6.773
Ta 3.571 2.062 4.910
```